[1]
A plane-wave DFT calculation with GGA-PBEsol was carried out for LiHg2Au after structural relaxation.

a b c (Å): 3.0415 4.7847 5.2934
angles (deg): 90.00 90.30 90.00
Closest atoms and distances in Å follow each position.
Atoms (fractional coordinates):
Au 0.0000 0.5000 0.0000  4 Hg 2.84, 2 Au 3.04, 4 Li 3.05-3.06
Hg 0.7667 0.0000 0.7444  2 Li 2.84, 2 Au 2.84, 6 Hg 2.96-3.16
Hg 0.2333 0.0000 0.2556  2 Li 2.84, 2 Au 2.84, 6 Hg 2.96-3.16
Li 0.5000 0.5000 0.5000  4 Hg 2.84, 2 Li 3.04, 4 Au 3.05-3.06

Calculated values
- calculated formation energy (kcal/mol of atoms) = -4.28
- DOS at the Fermi energy (states/eV/cell) = 1.337



[2]
A plane-wave DFT calculation with GGA-PBEsol was carried out for LaCu3Ru4O12 after structural relaxation.

a b c (Å): 6.4222 6.4222 6.4222
angles (deg): 109.47 109.47 109.47
Closest atoms and distances in Å follow each position.
Atoms (fractional coordinates):
La 0.0000 0.0000 0.0000  12 O 2.61
Cu 0.0000 0.5000 0.5000  4 O 1.92
Cu 0.5000 0.5000 0.0000  4 O 1.92
Cu 0.5000 0.0000 0.5000  4 O 1.92
Ru 0.5000 0.0000 0.0000  6 O 1.99
Ru 0.5000 0.5000 0.5000  6 O 1.99
Ru 0.0000 0.5000 0.0000  6 O 1.99
Ru 0.0000 0.0000 0.5000  6 O 1.99
O 0.8270 0.3070 0.1339  1 Cu 1.92, 2 Ru 1.99
O 0.1339 0.8270 0.3070  1 Cu 1.92, 2 Ru 1.99
O 0.6930 0.5200 0.8270  1 Cu 1.92, 2 Ru 1.99
O 0.3070 0.4800 0.1730  1 Cu 1.92, 2 Ru 1.99
O 0.8661 0.1730 0.6930  1 Cu 1.92, 2 Ru 1.99
O 0.1730 0.3070 0.4800  1 Cu 1.92, 2 Ru 1.99
O 0.1730 0.6930 0.8661  1 Cu 1.92, 2 Ru 1.99
O 0.6930 0.8661 0.1730  1 Cu 1.92, 2 Ru 1.99
O 0.8270 0.6930 0.5200  1 Cu 1.92, 2 Ru 1.99
O 0.5200 0.8270 0.6930  1 Cu 1.92, 2 Ru 1.99
O 0.3070 0.1339 0.8270  1 Cu 1.92, 2 Ru 1.99
O 0.4800 0.1730 0.3070  1 Cu 1.92, 2 Ru 1.99

Calculated values
- DOS at the Fermi energy (states/eV/cell) = 16.579
- ΔE_f (raw) (meV per atom) = -1213



[3]
A plane-wave DFT calculation with GGA-PBEsol was carried out for Ta2CuSi after structural relaxation.

a b c (Å): 3.8813 4.0250 4.7054
angles (deg): 115.32 114.36 90.00
Closest atoms and distances in Å follow each position.
Atoms (fractional coordinates):
Cu 0.5000 0.0000 0.0000  8 Ta 2.72-2.75, 4 Si 2.80
Si 0.0000 0.5000 0.0000  8 Ta 2.70-2.78, 4 Cu 2.80
Ta 0.7475 0.7475 0.4950  4 Si 2.70-2.78, 4 Cu 2.72-2.75, 4 Ta 2.80
Ta 0.2525 0.2525 0.5050  4 Si 2.70-2.78, 4 Cu 2.72-2.75, 4 Ta 2.80

Calculated values
- DOS at the Fermi energy (states/eV/cell) = 1.524
- ΔE_f (raw) (meV per atom) = -178



[4]
A plane-wave DFT calculation with GGA-PBEsol was carried out for AlSiN3 after structural relaxation.

a b c (Å): 3.7206 3.7206 3.7206
angles (deg): 90.00 90.00 90.00
Closest atoms and distances in Å follow each position.
Atoms (fractional coordinates):
Si 0.5000 0.5000 0.5000  12 N 2.63
Al 0.0000 0.0000 0.0000  6 N 1.86
N 0.0000 0.5000 0.0000  2 Al 1.86
N 0.0000 0.0000 0.5000  2 Al 1.86
N 0.5000 0.0000 0.0000  2 Al 1.86

Calculated values
- DOS at the Fermi energy (states/eV/cell) = 4.070
- ΔE_f (raw) (meV per atom) = 1085



[5]
A plane-wave DFT calculation with GGA-PBEsol was carried out for PPb2C after structural relaxation.

a b c (Å): 4.8082 4.8082 4.8082
angles (deg): 60.00 60.00 60.00
Closest atoms and distances in Å follow each position.
Atoms (fractional coordinates):
Pb 0.2500 0.2500 0.2500  4 C 2.94, 4 P 2.94
Pb 0.7500 0.7500 0.7500  4 C 2.94, 4 P 2.94
P 0.5000 0.5000 0.5000  8 Pb 2.94
C 0.0000 0.0000 0.0000  8 Pb 2.94

Calculated values
- calculated formation energy (kcal/mol of atoms) = 32.19
- DOS at the Fermi energy (states/eV/cell) = 2.497



[6]
A plane-wave DFT calculation with GGA-PBEsol was carried out for HfSiTe2I after structural relaxation.

a b c (Å): 5.4936 5.4947 5.4947
angles (deg): 90.00 90.00 90.00
Closest atoms and distances in Å follow each position.
Atoms (fractional coordinates):
I 0.5000 0.0000 0.0000  2 Hf 2.75
Si 0.5000 0.5000 0.5000  8 Te 3.88, 4 I 3.89
Te 0.0000 0.0000 0.5000  2 Hf 2.75
Te 0.0000 0.5000 0.0000  2 Hf 2.75
Hf 0.0000 0.0000 0.0000  2 I 2.75, 4 Te 2.75

Calculated values
- DOS at the Fermi energy (states/eV/cell) = 3.098
- ΔE_f (raw) (meV per atom) = 341



[7]
A plane-wave DFT calculation with GGA-PBEsol was carried out for ReTc2H2 after structural relaxation.

a b c (Å): 2.8410 2.8410 6.3064
angles (deg): 103.02 103.02 90.00
Closest atoms and distances in Å follow each position.
Atoms (fractional coordinates):
Re 0.0000 0.0000 0.0000  8 Tc 2.68, 4 Re 2.84
Tc 0.3511 0.3511 0.7023  4 H 1.87
Tc 0.6489 0.6489 0.2977  4 H 1.87
H 0.2500 0.7500 0.5000  4 Tc 1.87, 4 H 2.01
H 0.7500 0.2500 0.5000  4 Tc 1.87, 4 H 2.01

Calculated values
- DOS at the Fermi energy (states/eV/cell) = 3.289
- raw total energy (eV/atom) = -8.46



[8]
A plane-wave DFT calculation with GGA-PBEsol was carried out for SnGeTe2N after structural relaxation.

a b c (Å): 3.4926 5.7747 5.7747
angles (deg): 90.00 90.00 90.00
Closest atoms and distances in Å follow each position.
Atoms (fractional coordinates):
Ge 0.0000 0.0000 0.0000  2 N 1.75
Te 0.0000 0.0000 0.5000  2 Ge 2.89
Te 0.0000 0.5000 0.0000  2 Ge 2.89
Sn 0.5000 0.5000 0.5000  8 Te 3.37, 2 Sn 3.49
N 0.5000 0.0000 0.0000  2 Ge 1.75

Calculated values
- DOS at the Fermi energy (states/eV/cell) = 2.070
- ΔE_f (raw) (meV per atom) = 434